Arrangement i

A relaxed Cd3SnHg crystal, computed with GGA-PBE.

a = 4.4537 Å, b = 7.1636 Å, c = 8.5335 Å
α = 106.71°, β = 103.83°, γ = 90.06°
Space group P-1 (No. 2)
Inequivalent atoms, fractional coordinates:
Cd 0.0510 0.2417 0.0904 [2 per cell]
Cd 0.2252 0.1485 0.4572 [2 per cell]
Cd 0.3208 0.5894 0.6438 [2 per cell]
Sn 0.1404 0.6906 0.2622 [2 per cell]
Hg 0.4059 0.0364 0.8204 [2 per cell]

D(E_F) in states/eV/f.u.: 1.37
Density in Mg/m³: 8.6



Arrangement ii

A relaxed Cd3SnHg crystal, computed with GGA-PBE.

a = 5.7171 Å, b = 5.7171 Å, c = 5.7171 Å
α = 90.00°, β = 90.00°, γ = 90.00°
Space group Pm-3m (No. 221)
Inequivalent atoms, fractional coordinates:
Cd 0.0000 0.0000 0.5000 [3 per cell]
Sn 0.0000 0.0000 0.0000 [1 per cell]
Hg 0.5000 0.5000 0.5000 [1 per cell]

D(E_F) in states/eV/f.u.: 3.73
Density in Mg/m³: 5.8



Stability check: which of them is most stable? arrangement i.



Arrangement i

A relaxed CdSnHg4 crystal, computed with GGA-PBE.

a = 9.6596 Å, b = 9.7114 Å, c = 4.3962 Å
α = 90.00°, β = 90.00°, γ = 90.00°
Space group Cmmm (No. 65)
Inequivalent atoms, fractional coordinates:
Cd 0.0000 0.0000 0.0000 [2 per cell]
Sn 0.0000 0.5000 0.5000 [2 per cell]
Hg 0.0000 0.2937 0.0000 [4 per cell]
Hg 0.1997 0.0000 0.5000 [4 per cell]

D(E_F) in states/eV/f.u.: 2.16
Density in Mg/m³: 8.3



Arrangement ii

A relaxed CdSnHg4 crystal, computed with GGA-PBE.

a = 4.4190 Å, b = 6.2796 Å, c = 11.3161 Å
α = 90.00°, β = 90.00°, γ = 90.00°
Space group Pmmn (No. 59, origin choice 2)
Inequivalent atoms, fractional coordinates:
Cd 0.2500 0.2500 0.1010 [2 per cell]
Sn 0.2500 0.2500 0.3906 [2 per cell]
Hg 0.2500 0.0096 0.7539 [4 per cell]
Hg 0.2500 0.7500 0.0789 [2 per cell]
Hg 0.2500 0.7500 0.4191 [2 per cell]

D(E_F) in states/eV/f.u.: 1.77
Density in Mg/m³: 10.9



Stability check: which of them is most stable? arrangement ii.



Arrangement i

A relaxed CdSnHg2 crystal, computed with GGA-PBE.

a = 3.5438 Å, b = 3.5438 Å, c = 7.9996 Å
α = 90.00°, β = 90.00°, γ = 90.00°
Space group P4/mmm (No. 123)
Inequivalent atoms, fractional coordinates:
Cd 0.0000 0.0000 0.0000 [1 per cell]
Sn 0.0000 0.0000 0.5000 [1 per cell]
Hg 0.5000 0.5000 0.2391 [2 per cell]

D(E_F) in states/eV/f.u.: 1.51
Density in Mg/m³: 10.5



Arrangement ii

A relaxed CdSnHg2 crystal, computed with GGA-PBE.

a = 3.2604 Å, b = 3.2604 Å, c = 33.4489 Å
α = 90.00°, β = 90.00°, γ = 120.00°
Space group R-3m (No. 166, hexagonal axes)
Inequivalent atoms, fractional coordinates:
Cd 0.0000 0.0000 0.0000 [3 per cell]
Sn 0.0000 0.0000 0.5000 [3 per cell]
Hg 0.0000 0.0000 0.4107 [6 per cell]

D(E_F) in states/eV/f.u.: 1.23
Density in Mg/m³: 10.2



Arrangement iii

A relaxed CdSnHg2 crystal, computed with GGA-PBE.

a = 3.6288 Å, b = 3.6288 Å, c = 27.1302 Å
α = 90.00°, β = 90.00°, γ = 120.00°
Space group R3m (No. 160, hexagonal axes)
Inequivalent atoms, fractional coordinates:
Cd 0.0000 0.0000 0.0000 [3 per cell]
Sn 0.0000 0.0000 0.8330 [3 per cell]
Hg 0.0000 0.0000 0.4135 [3 per cell]
Hg 0.0000 0.0000 0.5864 [3 per cell]

D(E_F) in states/eV/f.u.: 1.55
Density in Mg/m³: 10.2



Arrangement iv

A relaxed CdSnHg2 crystal, computed with GGA-PBE.

a = 4.4637 Å, b = 4.4637 Å, c = 21.3008 Å
α = 90.00°, β = 90.00°, γ = 90.00°
Space group I-42d (No. 122)
Inequivalent atoms, fractional coordinates:
Cd 0.0000 0.0000 0.0000 [4 per cell]
Sn 0.0000 0.0000 0.5000 [4 per cell]
Hg 0.2436 0.2500 0.1250 [8 per cell]

D(E_F) in states/eV/f.u.: 1.64
Density in Mg/m³: 9.9



Stability check: which of them is most stable? arrangement ii.



Arrangement i

A relaxed CdSnHg2 crystal, computed with GGA-PBE.

a = 7.3910 Å, b = 7.3910 Å, c = 7.3910 Å
α = 90.00°, β = 90.00°, γ = 90.00°
Space group Fm-3m (No. 225)
Inequivalent atoms, fractional coordinates:
Cd 0.0000 0.0000 0.0000 [4 per cell]
Sn 0.0000 0.0000 0.5000 [4 per cell]
Hg 0.2500 0.2500 0.2500 [8 per cell]

D(E_F) in states/eV/f.u.: 2.03
Density in Mg/m³: 10.4



Arrangement ii

A relaxed CdSnHg2 crystal, computed with GGA-PBE.

a = 5.6924 Å, b = 5.6924 Å, c = 3.1599 Å
α = 90.00°, β = 90.00°, γ = 90.00°
Space group P4/mmm (No. 123)
Inequivalent atoms, fractional coordinates:
Cd 0.0000 0.0000 0.0000 [1 per cell]
Sn 0.5000 0.5000 0.0000 [1 per cell]
Hg 0.0000 0.5000 0.5000 [2 per cell]

D(E_F) in states/eV/f.u.: 1.65
Density in Mg/m³: 10.3



Stability check: which of them is most stable? arrangement ii.



Arrangement i

A relaxed Cd3Sn2Hg crystal, computed with GGA-PBE.

a = 11.6799 Å, b = 7.5186 Å, c = 7.4977 Å
α = 90.00°, β = 90.00°, γ = 90.00°
Space group Cmc2_1 (No. 36)
Inequivalent atoms, fractional coordinates:
Cd 0.0000 0.0783 0.0000 [4 per cell]
Cd 0.2459 0.4996 0.0760 [8 per cell]
Sn 0.1264 0.2513 0.3257 [8 per cell]
Hg 0.0000 0.3560 0.7352 [4 per cell]

D(E_F) in states/eV/f.u.: 1.86
Density in Mg/m³: 7.8



Arrangement ii

A relaxed Cd3Sn2Hg crystal, computed with GGA-PBE.

a = 4.9616 Å, b = 5.0223 Å, c = 13.3936 Å
α = 89.98°, β = 88.85°, γ = 86.16°
Space group P-1 (No. 2)
Inequivalent atoms, fractional coordinates:
Cd 0.2038 0.2155 0.0025 [2 per cell]
Cd 0.2526 0.2238 0.2533 [2 per cell]
Cd 0.2688 0.6193 0.6344 [2 per cell]
Sn 0.2383 0.1809 0.4907 [2 per cell]
Sn 0.3060 0.7006 0.1252 [2 per cell]
Hg 0.2128 0.1287 0.7557 [2 per cell]

D(E_F) in states/eV/f.u.: 1.70
Density in Mg/m³: 7.7



Stability check: which of them is most stable? arrangement ii.



Arrangement i

A relaxed Cd3Sn3Hg crystal, computed with GGA-PBE.

a = 9.4396 Å, b = 9.4396 Å, c = 4.7436 Å
α = 90.00°, β = 90.00°, γ = 120.00°
Space group P6_3/m (No. 176)
Inequivalent atoms, fractional coordinates:
Cd 0.0990 0.6018 0.2500 [6 per cell]
Sn 0.0311 0.2406 0.2500 [6 per cell]
Hg 0.3333 0.6667 0.7500 [2 per cell]

D(E_F) in states/eV/f.u.: 2.37
Density in Mg/m³: 8.1



Arrangement ii

A relaxed Cd3Sn3Hg crystal, computed with GGA-PBE.

a = 8.0493 Å, b = 8.0493 Å, c = 8.0493 Å
α = 90.00°, β = 90.00°, γ = 90.00°
Space group Pm-3n (No. 223)
Inequivalent atoms, fractional coordinates:
Cd 0.0000 0.2500 0.5000 [6 per cell]
Sn 0.0000 0.5000 0.2500 [6 per cell]
Hg 0.0000 0.0000 0.0000 [2 per cell]

D(E_F) in states/eV/f.u.: 3.44
Density in Mg/m³: 5.7



Stability check: which of them is most stable? arrangement i.



Arrangement i

A relaxed Cd2SnHg4 crystal, computed with GGA-PBE.

a = 5.8089 Å, b = 5.8089 Å, c = 14.2881 Å
α = 90.00°, β = 90.00°, γ = 90.00°
Space group I4/mmm (No. 139)
Inequivalent atoms, fractional coordinates:
Cd 0.0000 0.0000 0.1004 [4 per cell]
Sn 0.0000 0.0000 0.5000 [2 per cell]
Hg 0.0000 0.0000 0.2970 [4 per cell]
Hg 0.0000 0.5000 0.0000 [4 per cell]

D(E_F) in states/eV/f.u.: 3.86
Density in Mg/m³: 7.9



Arrangement ii

A relaxed Cd2SnHg4 crystal, computed with GGA-PBE.

a = 7.8730 Å, b = 6.1305 Å, c = 8.3267 Å
α = 90.00°, β = 115.67°, γ = 90.00°
Space group P2_1/m (No. 11)
Inequivalent atoms, fractional coordinates:
Cd 0.1872 0.2500 0.4164 [2 per cell]
Cd 0.3124 0.2500 0.8659 [2 per cell]
Sn 0.2570 0.7500 0.8324 [2 per cell]
Hg 0.0023 0.7500 0.0224 [2 per cell]
Hg 0.1100 0.7500 0.4260 [2 per cell]
Hg 0.4326 0.5024 0.2788 [4 per cell]

D(E_F) in states/eV/f.u.: 2.84
Density in Mg/m³: 10.5



Stability check: which of them is most stable? arrangement ii.



Arrangement i

A relaxed Cd4SnHg2 crystal, computed with GGA-PBE.

a = 4.1080 Å, b = 4.1080 Å, c = 21.2941 Å
α = 90.00°, β = 90.00°, γ = 90.00°
Space group I4/mmm (No. 139)
Inequivalent atoms, fractional coordinates:
Cd 0.0000 0.0000 0.1417 [4 per cell]
Cd 0.0000 0.5000 0.2500 [4 per cell]
Sn 0.0000 0.0000 0.0000 [2 per cell]
Hg 0.0000 0.0000 0.4173 [4 per cell]

D(E_F) in states/eV/f.u.: 2.69
Density in Mg/m³: 9.0



Arrangement ii

A relaxed Cd4SnHg2 crystal, computed with GGA-PBE.

a = 6.7954 Å, b = 11.0977 Å, c = 4.9915 Å
α = 90.00°, β = 90.00°, γ = 90.00°
Space group Pbam (No. 55)
Inequivalent atoms, fractional coordinates:
Cd 0.1780 0.2368 0.0000 [4 per cell]
Cd 0.2348 0.5468 0.5000 [4 per cell]
Sn 0.0000 0.5000 0.0000 [2 per cell]
Hg 0.0960 0.8063 0.5000 [4 per cell]

D(E_F) in states/eV/f.u.: 2.27
Density in Mg/m³: 8.6



Stability check: which of them is most stable? arrangement ii.



Arrangement i

A relaxed Cd8SnHg6 crystal, computed with GGA-PBE.

a = 12.4326 Å, b = 12.4326 Å, c = 8.9604 Å
α = 90.00°, β = 90.00°, γ = 120.00°
Space group R-3 (No. 148, hexagonal axes)
Inequivalent atoms, fractional coordinates:
Cd 0.0000 0.0000 0.1545 [6 per cell]
Cd 0.0538 0.8173 0.6765 [18 per cell]
Sn 0.0000 0.0000 0.5000 [3 per cell]
Hg 0.0553 0.7935 0.1659 [18 per cell]

D(E_F) in states/eV/f.u.: 6.09
Density in Mg/m³: 9.2



Arrangement ii

A relaxed Cd8SnHg6 crystal, computed with GGA-PBE.

a = 7.4425 Å, b = 7.4425 Å, c = 24.2782 Å
α = 90.00°, β = 90.00°, γ = 120.00°
Space group R-3 (No. 148, hexagonal axes)
Inequivalent atoms, fractional coordinates:
Cd 0.0000 0.0000 0.1996 [6 per cell]
Cd 0.0366 0.7785 0.6942 [18 per cell]
Sn 0.0000 0.0000 0.5000 [3 per cell]
Hg 0.0457 0.4507 0.7686 [18 per cell]

D(E_F) in states/eV/f.u.: 4.83
Density in Mg/m³: 9.5



Stability check: which of them is most stable? arrangement ii.



Arrangement i

A relaxed Cd2SnHg5 crystal, computed with GGA-PBE.

a = 7.8504 Å, b = 7.8504 Å, c = 13.3090 Å
α = 90.00°, β = 90.00°, γ = 90.00°
Space group I4/mcm (No. 140)
Inequivalent atoms, fractional coordinates:
Cd 0.1427 0.3573 0.0000 [8 per cell]
Sn 0.0000 0.0000 0.2500 [4 per cell]
Hg 0.0000 0.0000 0.0000 [4 per cell]
Hg 0.1524 0.3476 0.3391 [16 per cell]

D(E_F) in states/eV/f.u.: 3.66
Density in Mg/m³: 10.9



Arrangement ii

A relaxed Cd2SnHg5 crystal, computed with GGA-PBE.

a = 6.1972 Å, b = 6.2327 Å, c = 6.3639 Å
α = 60.86°, β = 84.18°, γ = 76.07°
Space group P1 (No. 1)
Inequivalent atoms, fractional coordinates:
Cd 0.0000 0.0000 0.0000 [1 per cell]
Cd 0.4994 0.9991 0.5003 [1 per cell]
Sn 0.9994 0.9999 0.5000 [1 per cell]
Hg 0.0004 0.5001 0.4997 [1 per cell]
Hg 0.0008 0.4997 0.9998 [1 per cell]
Hg 0.5005 0.4992 0.5000 [1 per cell]
Hg 0.5001 0.9991 0.0001 [1 per cell]
Hg 0.5010 0.4987 0.0003 [1 per cell]

D(E_F) in states/eV/f.u.: 2.02
Density in Mg/m³: 10.7



Stability check: which of them is most stable? arrangement ii.